Record 1
BeI2BrO | GGA-PBE | optimized geometry

VASP energy: -1.734 eV per atom
ΔE_f (raw): 0.958 eV/atom
Total moment: 0.0 μB per formula unit
Crystal system: tetragonal
Relative energy among the computed polymorphs: 1652 meV/atom

Cell lengths 5.8535, 5.8535, 3.9844 Å; angles 90.00, 90.00, 90.00 degrees
Space group P4/mmm (No. 123)
Inequivalent atoms, fractional coordinates:
Be 0.0000 0.0000 0.0000 [1 per cell]
I 0.0000 0.5000 0.5000 [2 per cell]
Br 0.5000 0.5000 0.5000 [1 per cell]
O 0.5000 0.5000 0.0000 [1 per cell]

***

Record 2
BeIBrO2 | GGA-PBE | optimized geometry

VASP energy: -3.205 eV per atom
ΔE_f (raw): 0.168 eV/atom
Total moment: 0.0 μB per formula unit
Crystal system: tetragonal
Relative energy among the computed polymorphs: 0 meV/atom

Cell lengths 3.7962, 3.7962, 6.2211 Å; angles 90.00, 90.00, 90.00 degrees
Space group P4/mmm (No. 123)
Inequivalent atoms, fractional coordinates:
Be 0.0000 0.0000 0.0000 [1 per cell]
I 0.0000 0.0000 0.5000 [1 per cell]
Br 0.5000 0.5000 0.5000 [1 per cell]
O 0.0000 0.5000 0.0000 [2 per cell]

***

Record 3
BeTe2IBr | GGA-PBE | optimized geometry

VASP energy: -1.433 eV per atom
ΔE_f (raw): 1.213 eV/atom
Total moment: 0.0 μB per formula unit
Crystal system: tetragonal
Relative energy among the computed polymorphs: 898 meV/atom

Cell lengths 5.6337, 5.6337, 5.8155 Å; angles 90.00, 90.00, 90.00 degrees
Space group P4/mmm (No. 123)
Inequivalent atoms, fractional coordinates:
Be 0.0000 0.0000 0.0000 [1 per cell]
Te 0.0000 0.5000 0.5000 [2 per cell]
I 0.5000 0.5000 0.0000 [1 per cell]
Br 0.5000 0.5000 0.5000 [1 per cell]

***

Record 4
BeTe2IBr | GGA-PBE | optimized geometry

VASP energy: -2.331 eV per atom
ΔE_f (raw): 0.315 eV/atom
Total moment: 0.0 μB per formula unit
Crystal system: tetragonal
Relative energy among the computed polymorphs: 0 meV/atom

Cell lengths 5.1285, 5.1285, 5.1269 Å; angles 90.00, 90.00, 90.00 degrees
Space group P4/mmm (No. 123)
Inequivalent atoms, fractional coordinates:
Be 0.0000 0.0000 0.0000 [1 per cell]
Te 0.0000 0.5000 0.0000 [2 per cell]
I 0.0000 0.0000 0.5000 [1 per cell]
Br 0.5000 0.5000 0.5000 [1 per cell]

***

Record 5
BeV2IBr | GGA-PBE | optimized geometry

VASP energy: -4.145 eV per atom
ΔE_f (raw): 0.892 eV/atom
Total moment: 6.3 μB per formula unit
Crystal system: tetragonal
Relative energy among the computed polymorphs: 0 meV/atom

Cell lengths 4.8917, 4.8917, 4.3942 Å; angles 90.00, 90.00, 90.00 degrees
Space group P4/mmm (No. 123)
Inequivalent atoms, fractional coordinates:
Be 0.0000 0.0000 0.0000 [1 per cell]
V 0.0000 0.5000 0.0000 [2 per cell]
I 0.5000 0.5000 0.5000 [1 per cell]
Br 0.0000 0.0000 0.5000 [1 per cell]

***

Record 6
BeV2IBr | GGA-PBE | optimized geometry

VASP energy: -3.597 eV per atom
ΔE_f (raw): 1.440 eV/atom
Total moment: 6.5 μB per formula unit
Crystal system: tetragonal
Relative energy among the computed polymorphs: 548 meV/atom

Cell lengths 4.7020, 4.7020, 6.9229 Å; angles 90.00, 90.00, 90.00 degrees
Space group P4/mmm (No. 123)
Inequivalent atoms, fractional coordinates:
Be 0.0000 0.0000 0.0000 [1 per cell]
V 0.0000 0.5000 0.5000 [2 per cell]
I 0.5000 0.5000 0.0000 [1 per cell]
Br 0.5000 0.5000 0.5000 [1 per cell]

***

Record 7
BeInBr2 | GGA-PBE | optimized geometry

VASP energy: -2.658 eV per atom
ΔE_f (raw): -0.205 eV/atom
Total moment: 0.0 μB per formula unit
Crystal system: orthorhombic
Relative energy among the computed polymorphs: 208 meV/atom

Cell lengths 3.4678, 7.8016, 9.2862 Å; angles 90.00, 90.00, 90.00 degrees
Space group Imm2 (No. 44)
Inequivalent atoms, fractional coordinates:
Be 0.0000 0.0000 0.0000 [2 per cell]
In 0.0000 0.5000 0.2798 [2 per cell]
Br 0.0000 0.0000 0.5385 [2 per cell]
Br 0.0000 0.5000 0.6505 [2 per cell]

***

Record 8
BeInBr2 | GGA-PBE | optimized geometry

VASP energy: -2.674 eV per atom
ΔE_f (raw): -0.222 eV/atom
Total moment: 0.0 μB per formula unit
Crystal system: tetragonal
Relative energy among the computed polymorphs: 191 meV/atom

Cell lengths 7.0234, 7.0234, 9.5092 Å; angles 90.00, 90.00, 90.00 degrees
Space group I-42d (No. 122)
Inequivalent atoms, fractional coordinates:
Be 0.0000 0.0000 0.0000 [4 per cell]
In 0.0000 0.0000 0.5000 [4 per cell]
Br 0.1045 0.7500 0.1250 [8 per cell]

***

Record 9
BeInBr2 | GGA-PBE | optimized geometry

VASP energy: -2.760 eV per atom
ΔE_f (raw): -0.307 eV/atom
Total moment: 0.0 μB per formula unit
Crystal system: monoclinic
Relative energy among the computed polymorphs: 106 meV/atom

Cell lengths 12.3552, 3.3754, 6.1439 Å; angles 90.00, 113.56, 90.00 degrees
Space group Cm (No. 8)
Inequivalent atoms, fractional coordinates:
Be 0.0000 0.0000 0.0000 [2 per cell]
In 0.1788 0.5000 0.3730 [2 per cell]
Br 0.0551 0.5000 0.7949 [2 per cell]
Br 0.3905 0.0000 0.0828 [2 per cell]

***

Record 10
BeInBr2 | GGA-PBE | optimized geometry

VASP energy: -2.757 eV per atom
ΔE_f (raw): -0.305 eV/atom
Total moment: 0.0 μB per formula unit
Crystal system: orthorhombic
Relative energy among the computed polymorphs: 109 meV/atom

Cell lengths 3.2708, 6.9893, 11.1736 Å; angles 90.00, 90.00, 90.00 degrees
Space group Cmmm (No. 65)
Inequivalent atoms, fractional coordinates:
Be 0.0000 0.0000 0.0000 [2 per cell]
In 0.0000 0.0000 0.5000 [2 per cell]
Br 0.0000 0.5000 0.1418 [4 per cell]

***

Record 11
Be3InBr | GGA-PBE | optimized geometry

VASP energy: -2.234 eV per atom
ΔE_f (raw): 0.884 eV/atom
Total moment: 0.0 μB per formula unit
Crystal system: cubic
Relative energy among the computed polymorphs: 0 meV/atom

Cell lengths 4.7078, 4.7078, 4.7078 Å; angles 90.00, 90.00, 90.00 degrees
Space group Pm-3m (No. 221)
Inequivalent atoms, fractional coordinates:
Be 0.0000 0.0000 0.5000 [3 per cell]
In 0.0000 0.0000 0.0000 [1 per cell]
Br 0.5000 0.5000 0.5000 [1 per cell]

***

Record 12
BeInBr2 | GGA-PBE | optimized geometry

VASP energy: -2.864 eV per atom
ΔE_f (raw): -0.411 eV/atom
Total moment: 0.0 μB per formula unit
Crystal system: monoclinic
Relative energy among the computed polymorphs: 2 meV/atom

Cell lengths 5.9482, 3.4377, 12.0385 Å; angles 90.00, 92.51, 90.00 degrees
Space group C2/m (No. 12)
Inequivalent atoms, fractional coordinates:
Be 0.0000 0.0000 0.0000 [2 per cell]
In 0.0000 0.5000 0.5000 [2 per cell]
Br 0.1772 0.5000 0.1151 [4 per cell]

***

Record 13
BeInBr2 | GGA-PBE | optimized geometry

VASP energy: -2.311 eV per atom
ΔE_f (raw): 0.142 eV/atom
Total moment: 0.0 μB per formula unit
Crystal system: tetragonal
Relative energy among the computed polymorphs: 555 meV/atom

Cell lengths 3.2948, 3.2948, 9.2812 Å; angles 90.00, 90.00, 90.00 degrees
Space group P4/mmm (No. 123)
Inequivalent atoms, fractional coordinates:
Be 0.0000 0.0000 0.0000 [1 per cell]
In 0.0000 0.0000 0.5000 [1 per cell]
Br 0.5000 0.5000 0.1651 [2 per cell]

***

Record 14
BeIn3Br | GGA-PBE | optimized geometry

VASP energy: -1.893 eV per atom
ΔE_f (raw): 0.830 eV/atom
Total moment: 0.0 μB per formula unit
Crystal system: cubic
Relative energy among the computed polymorphs: 814 meV/atom

Cell lengths 5.9426, 5.9426, 5.9426 Å; angles 90.00, 90.00, 90.00 degrees
Space group Pm-3m (No. 221)
Inequivalent atoms, fractional coordinates:
Be 0.0000 0.0000 0.0000 [1 per cell]
In 0.0000 0.5000 0.5000 [3 per cell]
Br 0.5000 0.5000 0.5000 [1 per cell]

***

Record 15
BeIn4Br | GGA-PBE | optimized geometry

VASP energy: -2.296 eV per atom
ΔE_f (raw): 0.430 eV/atom
Total moment: 0.0 μB per formula unit
Crystal system: cubic

Cell lengths 8.8069, 8.8069, 8.8069 Å; angles 90.00, 90.00, 90.00 degrees
Space group F-43m (No. 216)
Inequivalent atoms, fractional coordinates:
Be 0.0000 0.0000 0.0000 [4 per cell]
In 0.1255 0.1255 0.3745 [16 per cell]
Br 0.2500 0.2500 0.7500 [4 per cell]

***

Record 16
BeIn3Br | GGA-PBE | optimized geometry

VASP energy: -2.707 eV per atom
ΔE_f (raw): 0.016 eV/atom
Total moment: 0.0 μB per formula unit
Crystal system: cubic
Relative energy among the computed polymorphs: 0 meV/atom

Cell lengths 5.0698, 5.0698, 5.0698 Å; angles 90.00, 90.00, 90.00 degrees
Space group Pm-3m (No. 221)
Inequivalent atoms, fractional coordinates:
Be 0.0000 0.0000 0.0000 [1 per cell]
In 0.0000 0.0000 0.5000 [3 per cell]
Br 0.5000 0.5000 0.5000 [1 per cell]

***

Record 17
BeInBr2 | GGA-PBE | optimized geometry

VASP energy: -2.191 eV per atom
ΔE_f (raw): 0.261 eV/atom
Total moment: 0.0 μB per formula unit
Crystal system: tetragonal
Relative energy among the computed polymorphs: 675 meV/atom

Cell lengths 5.2823, 5.2823, 3.7421 Å; angles 90.00, 90.00, 90.00 degrees
Space group P4/mmm (No. 123)
Inequivalent atoms, fractional coordinates:
Be 0.0000 0.0000 0.0000 [1 per cell]
In 0.5000 0.5000 0.0000 [1 per cell]
Br 0.0000 0.5000 0.5000 [2 per cell]

***

Record 18
Be2In3Br8 | GGA-PBE | optimized geometry

VASP energy: -2.974 eV per atom
ΔE_f (raw): -0.740 eV/atom
Total moment: 0.0 μB per formula unit
Crystal system: trigonal

Cell lengths 7.2812, 7.2812, 26.0422 Å; angles 90.00, 90.00, 120.00 degrees
Space group R-3m (No. 166, hexagonal axes)
Inequivalent atoms, fractional coordinates:
Be 0.0000 0.0000 0.1043 [6 per cell]
In 0.0000 0.0000 0.2982 [6 per cell]
In 0.0000 0.0000 0.5000 [3 per cell]
Br 0.0000 0.0000 0.1865 [6 per cell]
Br 0.0033 0.5016 0.7434 [18 per cell]

***

Record 19
BeInBr4 | GGA-PBE | optimized geometry

VASP energy: -1.518 eV per atom
ΔE_f (raw): 0.675 eV/atom
Total moment: 2.1 μB per formula unit
Crystal system: cubic

Cell lengths 9.1342, 9.1342, 9.1342 Å; angles 90.00, 90.00, 90.00 degrees
Space group F-43m (No. 216)
Inequivalent atoms, fractional coordinates:
Be 0.0000 0.0000 0.0000 [4 per cell]
In 0.2500 0.2500 0.2500 [4 per cell]
Br 0.1255 0.1255 0.6255 [16 per cell]

***

Record 20
BeInBr2 | GGA-PBE | optimized geometry

VASP energy: -2.736 eV per atom
ΔE_f (raw): -0.283 eV/atom
Total moment: 0.0 μB per formula unit
Crystal system: monoclinic
Relative energy among the computed polymorphs: 130 meV/atom

Cell lengths 3.7234, 3.2732, 10.3057 Å; angles 90.00, 98.24, 90.00 degrees
Space group P2/m (No. 10)
Inequivalent atoms, fractional coordinates:
Be 0.0000 0.0000 0.0000 [1 per cell]
In 0.0000 0.0000 0.5000 [1 per cell]
Br 0.0776 0.5000 0.8531 [2 per cell]

***

Number 1: V 27.30 Å³/atom. Number 2: V 17.93 Å³/atom. Number 3: V 36.91 Å³/atom. Number 4: V 26.97 Å³/atom. Number 5: V 21.03 Å³/atom. Number 6: V 30.61 Å³/atom. Number 7: V 31.40 Å³/atom. Number 8: V 29.32 Å³/atom. Number 9: V 29.36 Å³/atom. Number 10: V 31.93 Å³/atom. Number 11: V 20.87 Å³/atom. Number 12: V 30.74 Å³/atom. Number 13: V 25.19 Å³/atom. Number 14: V 41.97 Å³/atom. Number 15: V 28.46 Å³/atom. Number 16: V 26.06 Å³/atom. Number 17: V 26.10 Å³/atom. Number 18: V 30.66 Å³/atom. Number 19: V 31.75 Å³/atom. Number 20: V 31.08 Å³/atom.